A plane-wave DFT calculation with PBE was carried out for an optimized crystal structure of CaTi2Pb2.

The structure belongs to space group P4/mbm (No. 127); the cell edges are 8.5252, 8.5252 and 3.2574 Å and the angles 90.00°, 90.00° and 90.00°. The asymmetric unit holds Ca at (0.0000, 0.0000, 0.0000), Ti at (0.1117, 0.3883, 0.0000) and Pb at (0.1803, 0.6803, 0.5000).

The value obtained for the relative energy among the computed polymorphs is 3.4 kJ per mole of atoms. The calculation puts the energy of formation at 3 meV per atom. As for the total energy: -50.4 eV/cell.